Record 1
TcMo2Pt: relaxed, PBE-GGA. Values from VASP.

Geometry as Quantum ESPRESSO input:
```
&SYSTEM
  ibrav = 0, nat = 8, ntyp = 3
/
ATOMIC_SPECIES
Mo 95.94 Mo.upf
Tc 98.00 Tc.upf
Pt 195.08 Pt.upf
ATOMIC_POSITIONS crystal
Mo 0.6054 0.1250 0.2500
Mo 0.1446 0.6250 0.2500
Mo 0.3750 0.3946 0.7500
Mo 0.8750 0.8554 0.7500
Tc 0.5000 0.5000 0.0000
Tc 0.2500 0.7500 0.5000
Pt 0.0000 0.0000 0.0000
Pt 0.7500 0.2500 0.5000
CELL_PARAMETERS angstrom
-4.9657 -4.7047 -1.7302
2.5879 -0.3203 -6.5564
0.4607 -4.5294 -3.3936
```

Calculated values
- Formation energy from the elements: 52.37 kJ/mol of atoms
- V: 67.49 Å³/f.u.
- Fermi-level density of states: 4.36 states/eV/f.u.

***

Record 2
TcMo2Pt: relaxed, PBE-GGA. Values from VASP.

Geometry as Quantum ESPRESSO input:
```
&SYSTEM
  ibrav = 0, nat = 4, ntyp = 3
/
ATOMIC_SPECIES
Mo 95.94 Mo.upf
Pt 195.08 Pt.upf
Tc 98.00 Tc.upf
ATOMIC_POSITIONS crystal
Mo 0.0010 0.0010 0.0010
Mo 0.4990 0.4990 0.4990
Pt 0.7500 0.7500 0.7500
Tc 0.2500 0.2500 0.2500
CELL_PARAMETERS angstrom
-4.3836 -1.1873 1.7111
-3.5870 -3.2670 0.1173
1.3921 -2.5028 3.9616
```

Calculated values
- Formation energy from the elements: -2.57 kJ/mol of atoms
- V: 61.53 Å³/f.u.
- Fermi-level density of states: 3.23 states/eV/f.u.

***

Record 3
TcMo4Pt: relaxed, PBE-GGA. Values from VASP.

Geometry as Quantum ESPRESSO input:
```
&SYSTEM
  ibrav = 0, nat = 6, ntyp = 3
/
ATOMIC_SPECIES
Tc 98.00 Tc.upf
Mo 95.94 Mo.upf
Pt 195.08 Pt.upf
ATOMIC_POSITIONS crystal
Tc 0.0000 0.0000 0.0000
Mo 0.6248 0.6248 0.1255
Mo 0.6248 0.1255 0.6248
Mo 0.6248 0.6248 0.6248
Mo 0.1255 0.6248 0.6248
Pt 0.2500 0.2500 0.2500
CELL_PARAMETERS angstrom
0.0000 3.6388 3.6388
3.6388 0.0000 3.6388
3.6388 3.6388 0.0000
```

Calculated values
- Formation energy from the elements: 18.46 kJ/mol of atoms
- V: 96.37 Å³/f.u.
- Fermi-level density of states: 4.01 states/eV/f.u.

***

Record 4
TeMo2Pt: relaxed, PBE-GGA. Values from VASP.

Geometry as Quantum ESPRESSO input:
```
&SYSTEM
  ibrav = 0, nat = 4, ntyp = 3
/
ATOMIC_SPECIES
Mo 95.94 Mo.upf
Pt 195.08 Pt.upf
Te 127.60 Te.upf
ATOMIC_POSITIONS crystal
Mo 0.0000 0.0000 0.0000
Mo 0.5000 0.5000 0.0000
Pt 0.5000 0.0000 0.5000
Te 0.0000 0.5000 0.5000
CELL_PARAMETERS angstrom
4.7075 0.0224 0.0000
-0.0232 4.7075 0.0000
0.0000 0.0000 3.0637
```

Calculated values
- V: 67.90 Å³/f.u.
- Fermi-level density of states: 3.07 states/eV/f.u.
- Formation energy from raw total energies: 4.14 kcal/mol of atoms

***

Record 5
TeMo2Pt: relaxed, PBE-GGA. Values from VASP.

Geometry as Quantum ESPRESSO input:
```
&SYSTEM
  ibrav = 0, nat = 4, ntyp = 3
/
ATOMIC_SPECIES
Mo 95.94 Mo.upf
Pt 195.08 Pt.upf
Te 127.60 Te.upf
ATOMIC_POSITIONS crystal
Mo 0.0000 0.0000 0.0000
Mo 0.2500 0.7500 0.5000
Pt 0.5000 0.5000 0.0000
Te 0.7500 0.2500 0.5000
CELL_PARAMETERS angstrom
-2.3587 -0.6019 -4.3859
3.2540 -1.5220 -3.5010
-1.0036 -1.6799 4.6187
```

Calculated values
- V: 68.06 Å³/f.u.
- Fermi-level density of states: 5.14 states/eV/f.u.
- Formation energy from raw total energies: 7.02 kcal/mol of atoms

***

Record 6
TeMo2Pt: relaxed, PBE-GGA. Values from VASP.

Geometry as Quantum ESPRESSO input:
```
&SYSTEM
  ibrav = 0, nat = 4, ntyp = 3
/
ATOMIC_SPECIES
Mo 95.94 Mo.upf
Pt 195.08 Pt.upf
Te 127.60 Te.upf
ATOMIC_POSITIONS crystal
Mo 0.0000 0.0000 0.0288
Mo 0.5000 0.5000 0.2436
Pt 0.0000 0.0000 0.4681
Te 0.5000 0.5000 0.7596
CELL_PARAMETERS angstrom
2.9246 -0.0112 0.0000
-0.9057 2.7809 0.0000
0.0000 0.0000 9.0862
```

Calculated values
- V: 73.81 Å³/f.u.
- Fermi-level density of states: 3.58 states/eV/f.u.
- Formation energy from raw total energies: 8.09 kcal/mol of atoms

***

Record 7
Te2MoPt: relaxed, PBE-GGA. Values from VASP.

Geometry as Quantum ESPRESSO input:
```
&SYSTEM
  ibrav = 0, nat = 4, ntyp = 3
/
ATOMIC_SPECIES
Mo 95.94 Mo.upf
Pt 195.08 Pt.upf
Te 127.60 Te.upf
ATOMIC_POSITIONS crystal
Mo 0.5000 0.5000 0.2500
Pt 0.5000 0.5000 0.7500
Te 0.0000 0.0000 0.0082
Te 0.0000 0.0000 0.4918
CELL_PARAMETERS angstrom
3.4507 0.0000 0.0000
0.0000 3.4507 0.0000
0.0000 0.0000 6.5958
```

Calculated values
- V: 78.54 Å³/f.u.
- Fermi-level density of states: 1.74 states/eV/f.u.
- Formation energy from raw total energies: 4.03 kcal/mol of atoms

***

Record 8
Te2MoPt: relaxed, PBE-GGA. Values from VASP.

Geometry as Quantum ESPRESSO input:
```
&SYSTEM
  ibrav = 0, nat = 4, ntyp = 3
/
ATOMIC_SPECIES
Mo 95.94 Mo.upf
Te 127.60 Te.upf
Pt 195.08 Pt.upf
ATOMIC_POSITIONS crystal
Mo 0.0000 0.0000 0.0000
Te 0.2500 0.2500 0.2500
Te 0.7500 0.7500 0.7500
Pt 0.5000 0.5000 0.5000
CELL_PARAMETERS angstrom
0.0000 3.4297 3.4297
3.4297 0.0000 3.4297
3.4297 3.4297 0.0000
```

Calculated values
- V: 80.69 Å³/f.u.
- Fermi-level density of states: 2.59 states/eV/f.u.
- Formation energy from raw total energies: 9.09 kcal/mol of atoms

***

Record 9
TeMoPt3: relaxed, PBE-GGA. Values from VASP.

Geometry as Quantum ESPRESSO input:
```
&SYSTEM
  ibrav = 0, nat = 5, ntyp = 3
/
ATOMIC_SPECIES
Mo 95.94 Mo.upf
Te 127.60 Te.upf
Pt 195.08 Pt.upf
ATOMIC_POSITIONS crystal
Mo 0.0000 0.0000 0.0000
Te 0.5000 0.5000 0.5000
Pt 0.0000 0.5000 0.0000
Pt 0.0000 0.0000 0.5000
Pt 0.5000 0.0000 0.0000
CELL_PARAMETERS angstrom
-4.5167 -1.4338 -1.0520
0.8039 -4.2076 2.2831
-1.5863 1.9502 4.1525
```

Calculated values
- V: 114.38 Å³/f.u.
- Fermi-level density of states: 4.89 states/eV/f.u.
- Formation energy from raw total energies: 24.28 kcal/mol of atoms

***

Record 10
Te2MoPt: relaxed, PBE-GGA. Values from VASP.

Geometry as Quantum ESPRESSO input:
```
&SYSTEM
  ibrav = 0, nat = 4, ntyp = 3
/
ATOMIC_SPECIES
Mo 95.94 Mo.upf
Pt 195.08 Pt.upf
Te 127.60 Te.upf
ATOMIC_POSITIONS crystal
Mo 0.7500 0.7500 0.7500
Pt 0.2500 0.2500 0.2500
Te 0.0263 0.0263 0.9823
Te 0.4737 0.4737 0.5177
CELL_PARAMETERS angstrom
4.6947 -0.0018 -0.0063
3.4599 3.1733 -0.0063
0.8739 0.3399 5.5302
```

Calculated values
- V: 82.44 Å³/f.u.
- Fermi-level density of states: 2.22 states/eV/f.u.
- Formation energy from raw total energies: 5.65 kcal/mol of atoms

***

Record 11
TeMo2Pt: relaxed, PBE-GGA. Values from VASP.

Geometry as Quantum ESPRESSO input:
```
&SYSTEM
  ibrav = 0, nat = 4, ntyp = 3
/
ATOMIC_SPECIES
Mo 95.94 Mo.upf
Pt 195.08 Pt.upf
Te 127.60 Te.upf
ATOMIC_POSITIONS crystal
Mo 0.0000 0.0000 0.0000
Mo 0.5000 0.0000 0.5000
Pt 0.0000 0.5000 0.5000
Te 0.5000 0.5000 0.0000
CELL_PARAMETERS angstrom
6.2488 0.0107 0.0323
-2.3773 4.3339 -0.0356
1.4941 0.8455 2.5541
```

Calculated values
- V: 69.15 Å³/f.u.
- Fermi-level density of states: 3.72 states/eV/f.u.
- Formation energy from raw total energies: 8.29 kcal/mol of atoms

***

Record 12
Te3MoPt: relaxed, PBE-GGA. Values from VASP.

Geometry as Quantum ESPRESSO input:
```
&SYSTEM
  ibrav = 0, nat = 5, ntyp = 3
/
ATOMIC_SPECIES
Mo 95.94 Mo.upf
Te 127.60 Te.upf
Pt 195.08 Pt.upf
ATOMIC_POSITIONS crystal
Mo 0.0000 0.0000 0.0000
Te 0.0000 0.5000 0.0000
Te 0.0000 0.0000 0.5000
Te 0.5000 0.0000 0.0000
Pt 0.5000 0.5000 0.5000
CELL_PARAMETERS angstrom
-3.3540 -3.2991 -2.1962
-0.4523 -2.5397 4.5058
-3.9374 3.1020 1.3532
```

Calculated values
- V: 139.96 Å³/f.u.
- Fermi-level density of states: 9.45 states/eV/f.u.
- Formation energy from raw total energies: 20.40 kcal/mol of atoms

***

The highest Fermi-level density of states belongs to which entry? Te3MoPt

***

Which value of V does entry 1 give? 67.49 Å³/f.u.